Compound: CsLiGa2Cl8
Source: Alexandria
Functional: GGA-PBE
Structure: relaxed

Cell: 10.4484 10.4484 10.4484 Å, 36.24 36.24 36.24°
Last column: nearest neighbours and their distance in Å.
Fractional coordinates of all 12 atoms:
Cs1 0.0000 0.0000 0.0000  12 Cl 3.78-3.99
Li1 0.5000 0.5000 0.5000  6 Cl 2.66
Ga1 0.2421 0.2421 0.2421  4 Cl 2.21
Ga2 0.7579 0.7579 0.7579  4 Cl 2.21
Cl1 0.1090 0.7709 0.4593  1 Ga 2.21
Cl2 0.2291 0.5407 0.8910  1 Ga 2.21
Cl3 0.3177 0.3177 0.3177  1 Ga 2.21
Cl4 0.4593 0.1090 0.7709  1 Ga 2.21
Cl5 0.5407 0.8910 0.2291  1 Ga 2.21
Cl6 0.6823 0.6823 0.6823  1 Ga 2.21
Cl7 0.7709 0.4593 0.1090  1 Ga 2.21
Cl8 0.8910 0.2291 0.5407  1 Ga 2.21

Calculated values
**Space-group type**: R-3, No. 148
**Raw formation energy**: -1.446 eV per atom



Compound: Sr2TaHgB
Source: Alexandria
Functional: GGA-PBE
Structure: relaxed

Cell: 6.1440 6.1440 4.2330 Å, 90.00 90.00 90.00°
Last column: nearest neighbours and their distance in Å.
Fractional coordinates of all 5 atoms:
Sr1 0.0000 0.5000 0.0000  2 Ta 3.07
Sr2 0.5000 0.0000 0.0000  2 Ta 3.07
Ta1 0.0000 0.0000 0.0000  2 B 2.12
Hg1 0.5000 0.5000 0.5000  8 Sr 3.73
B1 0.0000 0.0000 0.5000  2 Ta 2.12

Calculated values
**Energy of formation**: 0.82 eV/atom
**Space-group type**: P4/mmm, No. 123



Copy entry 2 word for word.
Compound: Sr2TaHgB
Source: Alexandria
Functional: GGA-PBE
Structure: relaxed

Cell: 6.1440 6.1440 4.2330 Å, 90.00 90.00 90.00°
Last column: nearest neighbours and their distance in Å.
Fractional coordinates of all 5 atoms:
Sr1 0.0000 0.5000 0.0000  2 Ta 3.07
Sr2 0.5000 0.0000 0.0000  2 Ta 3.07
Ta1 0.0000 0.0000 0.0000  2 B 2.12
Hg1 0.5000 0.5000 0.5000  8 Sr 3.73
B1 0.0000 0.0000 0.5000  2 Ta 2.12

Calculated values
**Energy of formation**: 0.82 eV/atom
**Space-group type**: P4/mmm, No. 123